No. 1
DyPuCdBi GGA-PBE relaxed; space-group type = No. 216; energy relative to the elements = -272 meV per atom
1.0
-5.2132 1.1558 -0.8578
-3.4541 -3.9339 -1.3578
-3.7510 -1.6435 3.5325
Cd Dy Bi Pu
1 1 1 1
direct
0.2500 0.2500 0.2500
0.5000 0.5000 0.5000
0.7500 0.7500 0.7500
0.0000 0.0000 0.0000


No. 2
DyScCdBi GGA-PBE relaxed; space-group type = No. 216; energy relative to the elements = -343 meV per atom
1.0
5.2700 0.0000 0.0000
2.6350 4.5639 0.0000
2.6350 1.5213 4.3029
Sc Cd Bi Dy
1 1 1 1
direct
0.0000 0.0000 0.0000
0.7500 0.7500 0.7500
0.2500 0.2500 0.2500
0.5000 0.5000 0.5000


No. 3
TbDyCdBi GGA-PBE relaxed; space-group type = No. 216; energy relative to the elements = -417 meV per atom
1.0
5.3998 0.0000 0.0000
2.6999 4.6764 0.0000
2.6999 1.5588 4.4090
Cd Tb Bi Dy
1 1 1 1
direct
0.7500 0.7500 0.7500
0.5000 0.5000 0.5000
0.2500 0.2500 0.2500
0.0000 0.0000 0.0000


No. 4
DyYCdBi GGA-PBE relaxed; space-group type = No. 216; energy relative to the elements = -423 meV per atom
1.0
5.3984 0.0000 0.0000
2.6992 4.6751 0.0000
2.6992 1.5584 4.4077
Y Cd Bi Dy
1 1 1 1
direct
0.7500 0.7500 0.7500
0.0000 0.0000 0.0000
0.5000 0.5000 0.5000
0.2500 0.2500 0.2500


Q: Look up the energy relative to the elements of the fourth one.
A: -423 meV per atom


Q: What is the energy relative to the elements in the fourth record?
A: -423 meV per atom


What did the third record say?
TbDyCdBi GGA-PBE relaxed; space-group type = No. 216; energy relative to the elements = -417 meV per atom
1.0
5.3998 0.0000 0.0000
2.6999 4.6764 0.0000
2.6999 1.5588 4.4090
Cd Tb Bi Dy
1 1 1 1
direct
0.7500 0.7500 0.7500
0.5000 0.5000 0.5000
0.2500 0.2500 0.2500
0.0000 0.0000 0.0000


Q: Look up the energy relative to the elements of the first one.
A: -272 meV per atom